[1]
First-principles (GGA-PBE) data for a relaxed structure of Na2HgBiW, as listed in Alexandria.

Results
Symmetry = No. 123
Energy of formation = 1033 meV per atom
DOS at the Fermi energy = 0.6787 states/eV per atom
Uncorrected energy = -2.92 eV/atom

Cell: 5.2336 5.3755 5.2336 Å, 90.00 90.00 90.00°
Closest atoms and distances in Å follow each position.
Fractional coordinates of all 5 atoms:
Na1 0.0000 0.0000 0.5000  2 Hg 2.62
Na2 0.5000 0.0000 0.0000  2 Hg 2.62
Bi1 0.5000 0.5000 0.5000  4 W 3.70, 8 Na 3.75
W1 0.0000 0.5000 0.0000  2 Hg 2.69
Hg1 0.0000 0.0000 0.0000  4 Na 2.62, 2 W 2.69

---

[2]
First-principles (GGA-PBE) data for a relaxed structure of Na2YHgBi2, as listed in Alexandria.

Results
Symmetry = No. 26
Energy of formation = -391 meV per atom
DOS at the Fermi energy = 0.3754 states/eV per atom
Uncorrected energy = -3.25 eV/atom

Cell: 4.9277 7.5726 9.3994 Å, 90.00 90.00 90.00°
Closest atoms and distances in Å follow each position.
Fractional coordinates of all 12 atoms:
Na1 0.5000 0.0479 0.0296  1 Hg 3.31, 3 Bi 3.32-3.46, 4 Na 3.42-3.48
Na2 0.0000 0.3330 0.1542  4 Bi 3.20-3.52, 4 Na 3.42-3.48, 1 Y 3.57
Na3 0.5000 0.5479 0.9704  1 Hg 3.31, 3 Bi 3.32-3.46, 4 Na 3.42-3.48
Na4 0.0000 0.8330 0.8458  4 Bi 3.20-3.52, 4 Na 3.42-3.48, 1 Y 3.57
Y1 0.0000 0.0084 0.4934  2 Hg 3.20, 5 Bi 3.24-3.58, 1 Na 3.57
Y2 0.0000 0.5084 0.5066  2 Hg 3.20, 5 Bi 3.24-3.58, 1 Na 3.57
Hg1 0.5000 0.1356 0.6848  4 Bi 2.99-3.20, 2 Y 3.20, 1 Na 3.31
Hg2 0.5000 0.6356 0.3152  4 Bi 2.99-3.20, 2 Y 3.20, 1 Na 3.31
Bi1 0.0000 0.2959 0.8105  2 Hg 2.99, 1 Na 3.24, 1 Y 3.28
Bi2 0.5000 0.2247 0.3523  2 Hg 3.13-3.20, 3 Na 3.20-3.32, 2 Y 3.24
Bi3 0.0000 0.7959 0.1895  2 Hg 2.99, 1 Na 3.24, 1 Y 3.28
Bi4 0.5000 0.7247 0.6477  2 Hg 3.13-3.20, 3 Na 3.20-3.32, 2 Y 3.24

---

[3]
First-principles (GGA-PBE) data for a relaxed structure of NaZnHgBi, as listed in Alexandria.

Results
Symmetry = No. 216
Energy of formation = -47 meV per atom
DOS at the Fermi energy = 0.3673 states/eV per atom
Uncorrected energy = -1.74 eV/atom

Cell: 5.2406 5.2406 5.2406 Å, 60.00 60.00 60.00°
Closest atoms and distances in Å follow each position.
Fractional coordinates of all 4 atoms:
Na1 0.7500 0.7500 0.7500  4 Hg 3.21, 4 Zn 3.21
Zn1 0.0000 0.0000 0.0000  4 Na 3.21, 4 Bi 3.21
Bi1 0.2500 0.2500 0.2500  4 Zn 3.21, 4 Hg 3.21
Hg1 0.5000 0.5000 0.5000  4 Na 3.21, 4 Bi 3.21

---

[4]
First-principles (GGA-PBE) data for a relaxed structure of NbHgBi, as listed in Alexandria.

Results
Symmetry = No. 11
Energy of formation = 193 meV per atom
DOS at the Fermi energy = 0.6719 states/eV per atom
Uncorrected energy = -4.56 eV/atom
ΔE to the lowest computed polymorph = 61 kJ/mol of formula units

Cell: 5.6992 3.3878 7.8455 Å, 90.00 90.72 90.00°
Closest atoms and distances in Å follow each position.
Fractional coordinates of all 6 atoms:
Nb1 0.3325 0.2500 0.4283  2 Nb 2.78, 3 Bi 2.98-3.03, 2 Hg 3.01
Nb2 0.6675 0.7500 0.5717  2 Nb 2.78, 3 Bi 2.98-3.03, 2 Hg 3.01
Hg1 0.6918 0.2500 0.8878  2 Nb 3.01, 1 Bi 3.16, 2 Hg 3.29
Hg2 0.3082 0.7500 0.1122  2 Nb 3.01, 1 Bi 3.16, 2 Hg 3.29
Bi1 0.8222 0.2500 0.2807  4 Nb 2.98-3.12, 1 Hg 3.16
Bi2 0.1778 0.7500 0.7193  4 Nb 2.98-3.12, 1 Hg 3.16

---

[5]
First-principles (GGA-PBE) data for a relaxed structure of NbHgBi, as listed in Alexandria.

Results
Symmetry = No. 129
Energy of formation = -17 meV per atom
DOS at the Fermi energy = 0.5266 states/eV per atom
Uncorrected energy = -4.77 eV/atom
ΔE to the lowest computed polymorph = 0 kJ/mol of formula units

Cell: 3.5534 3.5534 12.7545 Å, 90.00 90.00 90.00°
Closest atoms and distances in Å follow each position.
Fractional coordinates of all 6 atoms:
Nb1 0.0000 0.5000 0.4455  4 Nb 2.87, 5 Bi 3.05-3.12
Nb2 0.5000 0.0000 0.5545  4 Nb 2.87, 5 Bi 3.05-3.12
Hg1 0.0000 0.5000 0.0936  8 Hg 3.47-3.55, 4 Bi 3.73
Hg2 0.5000 0.0000 0.9064  8 Hg 3.47-3.55, 4 Bi 3.73
Bi1 0.0000 0.5000 0.6902  5 Nb 3.05-3.12
Bi2 0.5000 0.0000 0.3098  5 Nb 3.05-3.12

---

[6]
First-principles (GGA-PBE) data for a relaxed structure of NbHg3Bi, as listed in Alexandria.

Results
Symmetry = No. 221
Energy of formation = 787 meV per atom
DOS at the Fermi energy = 0.4872 states/eV per atom
Uncorrected energy = -2.18 eV/atom
ΔE to the lowest computed polymorph = 0 kJ/mol of formula units

Cell: 5.3749 5.3749 5.3749 Å, 90.00 90.00 90.00°
Closest atoms and distances in Å follow each position.
Fractional coordinates of all 5 atoms:
Nb1 0.0000 0.0000 0.0000  6 Hg 2.69
Bi1 0.5000 0.5000 0.5000  12 Hg 3.80
Hg1 0.0000 0.5000 0.0000  2 Nb 2.69
Hg2 0.0000 0.0000 0.5000  2 Nb 2.69
Hg3 0.5000 0.0000 0.0000  2 Nb 2.69